An optimized crystal structure of CsSrPt3, computed with GGA-PBE.

a b c (Å): 5.3220 5.3220 5.3220
angles (deg): 90.00 90.00 90.00
With the nearest neighbours (Å) after each atom.
Atoms (fractional coordinates):
Cs 0.0000 0.0000 0.0000  6 Pt 2.66
Pt 0.5000 0.0000 0.0000  2 Cs 2.66
Pt 0.0000 0.0000 0.5000  2 Cs 2.66
Pt 0.0000 0.5000 0.0000  2 Cs 2.66
Sr 0.5000 0.5000 0.5000  12 Pt 3.76

Output
Formation enthalpy at 0 K (eV/atom): 1.09
Total magnetic moment (μB/f.u.): 0.00
Density (g/cm³): 8.9
V (Å³/f.u.): 150.7
Space-group type: Pm-3m, No. 221